This record from Alexandria describes a relaxed Li2CrTeS crystal. The functional is PBEsol.

The space group is P4/mmm (No. 123) and the conventional cell measures 4.802, 4.802 and 5.623 Å, with angles of 90.00, 90.00 and 90.00 degrees. The asymmetric unit holds Li at (0.000, 0.500, 0.000), Cr at (0.000, 0.000, 0.500), Te at (0.500, 0.500, 0.000) and S at (0.500, 0.500, 0.500).

As for the crystal system: tetragonal. As for the raw formation energy: 0.403 eV per atom. The total moment is 1.02 μB per atom. For the total energy, the calculation gives -4.0139 eV/atom.